(1)
A plane-wave DFT calculation with PBE was carried out for a relaxed structure of La8RuRh3Cl4.

a = 8.281 Å, b = 9.063 Å, c = 8.280 Å
α = 117.21°, β = 120.00°, γ = 90.00°
Fractional coordinates of all 16 atoms:
La (0.740, 0.706, 0.973)
La (0.266, 0.297, 0.531)
La (0.734, 0.703, 0.469)
La (0.260, 0.294, 0.027)
La (0.767, 0.294, 0.534)
La (0.233, 0.706, 0.973)
La (0.767, 0.294, 0.027)
La (0.233, 0.706, 0.466)
Rh (0.500, 0.500, 0.000)
Rh (0.500, 0.500, 0.500)
Rh (0.000, 0.500, 0.500)
Cl (0.500, 0.000, 0.000)
Cl (0.500, 0.000, 0.500)
Cl (0.000, 0.000, 0.000)
Cl (0.000, 0.000, 0.500)
Ru (0.000, 0.500, 0.000)

Summary:
The calculation puts the final energy at -6.12 eV per atom. Its density of states at the Fermi level is 5.6 states/eV/cell. The formation energy (no corrections) comes out at -1.23 eV/atom. The density is 6.0 g/cm3. The space group is R-3m, No. 166.

***

(2)
A plane-wave DFT calculation with PBE was carried out for a relaxed structure of La3RhSCl.

a = 4.110 Å, b = 8.642 Å, c = 9.464 Å
α = 102.60°, β = 90.00°, γ = 90.00°
Fractional coordinates of all 12 atoms:
La (0.250, 0.732, 0.504)
La (0.750, 0.434, 0.164)
La (0.750, 0.883, 0.105)
La (0.250, 0.566, 0.836)
La (0.250, 0.117, 0.895)
La (0.750, 0.268, 0.496)
S (0.750, 0.817, 0.766)
S (0.250, 0.183, 0.234)
Cl (0.250, 0.096, 0.599)
Cl (0.750, 0.904, 0.401)
Rh (0.250, 0.666, 0.138)
Rh (0.750, 0.334, 0.862)

Summary:
The calculation puts the final energy at -5.96 eV per atom. Its density of states at the Fermi level is 7.6 states/eV/cell. The formation energy (no corrections) comes out at -1.27 eV/atom. The density is 5.9 g/cm3. The space group is P2_1/m, No. 11.

***

(3)
A plane-wave DFT calculation with PBE was carried out for a relaxed structure of La6Rh2SeCl3.

a = 7.375 Å, b = 7.375 Å, c = 7.615 Å
α = 99.48°, β = 99.48°, γ = 119.62°
Fractional coordinates of all 12 atoms:
Rh (0.668, 0.332, 0.000)
Rh (0.332, 0.668, 0.000)
La (0.718, 0.718, 0.217)
La (0.429, 0.075, 0.224)
La (0.075, 0.429, 0.224)
La (0.282, 0.282, 0.783)
La (0.571, 0.925, 0.776)
La (0.925, 0.571, 0.776)
Cl (0.845, 0.155, 0.500)
Cl (0.155, 0.845, 0.500)
Cl (0.500, 0.500, 0.500)
Se (0.000, 0.000, 0.000)

Summary:
The calculation puts the final energy at -5.85 eV per atom. Its density of states at the Fermi level is 10.4 states/eV/cell. The formation energy (no corrections) comes out at -1.41 eV/atom. The density is 6.0 g/cm3. The space group is C2/m, No. 12.

***

(4)
A plane-wave DFT calculation with PBE was carried out for a relaxed structure of La8Rh3SeCl4.

a = 8.444 Å, b = 8.817 Å, c = 8.445 Å
α = 118.62°, β = 120.00°, γ = 90.00°
Fractional coordinates of all 16 atoms:
La (0.274, 0.279, 0.026)
La (0.736, 0.709, 0.473)
La (0.247, 0.721, 0.495)
La (0.753, 0.279, 0.505)
La (0.264, 0.291, 0.527)
La (0.726, 0.721, 0.974)
La (0.753, 0.279, 0.026)
La (0.247, 0.721, 0.974)
Rh (0.000, 0.500, 0.500)
Rh (0.500, 0.500, 0.000)
Rh (0.500, 0.500, 0.500)
Se (0.000, 0.500, 0.000)
Cl (0.500, 0.000, 0.000)
Cl (0.500, 0.000, 0.500)
Cl (0.000, 0.000, 0.500)
Cl (0.000, 0.000, 0.000)

Summary:
The calculation puts the final energy at -5.88 eV per atom. Its density of states at the Fermi level is 13.4 states/eV/cell. The formation energy (no corrections) comes out at -1.35 eV/atom. The density is 6.0 g/cm3. The space group is R-3m, No. 166.

***

(5)
A plane-wave DFT calculation with PBE was carried out for a relaxed structure of La3RhSeCl.

a = 4.199 Å, b = 8.719 Å, c = 9.556 Å
α = 102.49°, β = 90.00°, γ = 90.00°
Fractional coordinates of all 12 atoms:
La (0.250, 0.730, 0.491)
La (0.750, 0.437, 0.162)
La (0.250, 0.563, 0.838)
La (0.750, 0.877, 0.110)
La (0.250, 0.123, 0.890)
La (0.750, 0.270, 0.509)
Cl (0.750, 0.907, 0.404)
Cl (0.250, 0.093, 0.596)
Se (0.250, 0.180, 0.235)
Se (0.750, 0.820, 0.765)
Rh (0.250, 0.663, 0.141)
Rh (0.750, 0.337, 0.859)

Summary:
The calculation puts the final energy at -5.86 eV per atom. Its density of states at the Fermi level is 7.7 states/eV/cell. The formation energy (no corrections) comes out at -1.28 eV/atom. The density is 6.2 g/cm3. The space group is P2_1/m, No. 11.

***

(6)
A plane-wave DFT calculation with PBE was carried out for a relaxed structure of La8SiRh3Cl4.

a = 8.475 Å, b = 8.919 Å, c = 8.477 Å
α = 118.41°, β = 119.99°, γ = 90.00°
Fractional coordinates of all 16 atoms:
Cl (0.000, 0.000, 0.000)
Cl (0.000, 0.000, 0.500)
Cl (0.500, 0.000, 0.000)
Cl (0.500, 0.000, 0.500)
La (0.272, 0.290, 0.031)
La (0.242, 0.710, 0.969)
La (0.728, 0.710, 0.969)
La (0.262, 0.287, 0.525)
La (0.738, 0.713, 0.475)
La (0.758, 0.290, 0.031)
La (0.759, 0.291, 0.517)
La (0.241, 0.709, 0.483)
Rh (0.500, 0.500, 0.000)
Rh (0.000, 0.500, 0.500)
Rh (0.500, 0.500, 0.500)
Si (0.000, 0.500, 0.000)

Summary:
The calculation puts the final energy at -5.87 eV per atom. Its density of states at the Fermi level is 15.2 states/eV/cell. The formation energy (no corrections) comes out at -1.23 eV/atom. The density is 5.7 g/cm3. The space group is C2/m, No. 12.